<A>
K3CuH4: relaxed, GGA-PBE.

Calculated density, g/cm3: 2.2
Volume, A^3/atom: 17.85
M_tot, μB per atom: 0.00

Cell lengths 8.4660, 5.9277, 5.6904 Å; angles 90.00, 90.00, 90.00 degrees
Space group Pmn2_1 (No. 31)
Inequivalent atoms, fractional coordinates:
1 K 0.0000 0.1477 0.0000
2 K 0.2464 0.6898 0.0000
3 Cu 0.0000 0.7160 0.4992
4 H 0.0000 0.5318 0.2727
5 H 0.0000 0.5330 0.7270
6 H 0.1693 0.8552 0.4988


<B>
K3CuH4: relaxed, GGA-PBE.

Calculated density, g/cm3: 1.9
Volume, A^3/atom: 19.74
M_tot, μB per atom: 0.00

Cell lengths 7.9291, 6.5823, 6.0501 Å; angles 90.00, 90.00, 90.00 degrees
Space group Pmn2_1 (No. 31)
Inequivalent atoms, fractional coordinates:
1 K 0.0000 0.0693 0.0000
2 K 0.2277 0.3472 0.4983
3 Cu 0.0000 0.8053 0.4834
4 H 0.0000 0.0590 0.4702
5 H 0.0000 0.6929 0.2353
6 H 0.1804 0.7365 0.5979


List of relative energies, unit kJ/mol of atoms: <A> 0.0; <B> 3.4


<A>
K2CuH: relaxed, GGA-PBE.

Calculated density, g/cm3: 1.8
Volume, A^3/atom: 33.11
M_tot, μB per atom: 0.00

Cell lengths 7.7655, 7.7655, 8.7854 Å; angles 90.00, 90.00, 90.00 degrees
Space group I-42d (No. 122)
Inequivalent atoms, fractional coordinates:
1 K 0.1776 0.7500 0.1250
2 Cu 0.0000 0.0000 0.5000
3 H 0.0000 0.0000 0.0000


<B>
K2CuH: relaxed, GGA-PBE.

Calculated density, g/cm3: 2.1
Volume, A^3/atom: 28.14
M_tot, μB per atom: 0.00

Cell lengths 7.6648, 7.6648, 7.6648 Å; angles 90.00, 90.00, 90.00 degrees
Space group Fm-3m (No. 225)
Inequivalent atoms, fractional coordinates:
1 K 0.2500 0.2500 0.2500
2 Cu 0.0000 0.0000 0.0000
3 H 0.0000 0.0000 0.5000


List of relative energies, unit kJ/mol of atoms: <A> 0.0; <B> 7.0


<A>
KCu2H2Se2O10: relaxed, GGA-PBE.

Calculated density, g/cm3: 2.8
Volume, A^3/atom: 16.69
M_tot, μB per atom: 0.06

Cell lengths 12.4094, 6.6117, 7.9456 Å; angles 90.00, 119.51, 90.00 degrees
Space group C2/m (No. 12)
Inequivalent atoms, fractional coordinates:
1 K 0.0000 0.0000 0.0000
2 Cu 0.2500 0.2500 0.5000
3 H 0.1954 0.5000 0.8895
4 Se 0.2496 0.0000 0.7917
5 O 0.1167 0.0000 0.7878
6 O 0.1426 0.5000 0.9496
7 O 0.1820 0.0000 0.5072
8 O 0.1900 0.2675 0.2318


<B>
KCu2H2Se2O10: relaxed, GGA-PBE.

Calculated density, g/cm3: 3.0
Volume, A^3/atom: 15.61
M_tot, μB per atom: 0.00

Cell lengths 11.9588, 7.2095, 6.8870 Å; angles 90.00, 116.65, 90.00 degrees
Space group C2/m (No. 12)
Inequivalent atoms, fractional coordinates:
1 K 0.0000 0.0000 0.0000
2 Cu 0.2500 0.2500 0.5000
3 H 0.2147 0.5000 0.6953
4 Se 0.2139 0.5000 0.1174
5 O 0.1326 0.0000 0.7655
6 O 0.1389 0.5000 0.8500
7 O 0.1610 0.3082 0.2019
8 O 0.2449 0.0000 0.4058


List of relative energies, unit kJ/mol of atoms: <A> 3.5; <B> 0.0


<A>
La2CuH: relaxed, GGA-PBE.

Calculated density, g/cm3: 6.2
Volume, A^3/atom: 23.00
M_tot, μB per atom: 0.00

Cell lengths 6.9710, 6.9710, 7.5724 Å; angles 90.00, 90.00, 90.00 degrees
Space group I-42d (No. 122)
Inequivalent atoms, fractional coordinates:
1 La 0.1831 0.2500 0.1250
2 Cu 0.0000 0.0000 0.5000
3 H 0.0000 0.0000 0.0000


<B>
La2CuH: relaxed, GGA-PBE.

Calculated density, g/cm3: 6.1
Volume, A^3/atom: 23.25
M_tot, μB per atom: 0.00

Cell lengths 4.0521, 4.0521, 19.6250 Å; angles 90.00, 90.00, 120.00 degrees
Space group R-3m (No. 166, hexagonal axes)
Inequivalent atoms, fractional coordinates:
1 La 0.0000 0.0000 0.2398
2 Cu 0.0000 0.0000 0.0000
3 H 0.0000 0.0000 0.5000


List of relative energies, unit kJ/mol of atoms: <A> 0.0; <B> 1.5